1.
ZrCo2Cu (PBE, relaxed); total energy = -26.7 eV per cell
1.0
-3.293 -0.880 -2.621
-3.405 -2.170 1.478
-3.765 2.008 0.529
Zr Co Cu
1 2 1
Direct
0.750 0.750 0.750 Zr
0.250 0.250 0.250 Co
0.000 0.000 0.000 Co
0.500 0.500 0.500 Cu



2.
ZrCoCu2 (PBE, relaxed); total energy = -46.4 eV per cell
1.0
-0.988 -1.032 -3.268
-0.982 -3.173 1.299
-9.652 1.223 0.586
Cu Zr Co
4 2 2
Direct
0.875 0.846 0.750 Cu
0.596 0.125 0.250 Cu
0.375 0.404 0.750 Cu
0.154 0.625 0.250 Cu
0.000 0.000 0.000 Zr
0.750 0.250 0.500 Zr
0.250 0.750 0.500 Co
0.500 0.500 0.000 Co



3.
ZrCo2Cu (PBE, relaxed); total energy = -25.6 eV per cell
1.0
-2.959 -8.289 -0.913
-1.268 -8.670 1.230
-3.848 -7.795 1.649
Co Cu Zr
2 1 1
Direct
0.253 0.253 0.253 Co
0.989 0.989 0.989 Co
0.509 0.509 0.509 Cu
0.749 0.749 0.749 Zr



4.
ZrCo2Cu (PBE, relaxed); total energy = -51.5 eV per cell
1.0
-3.780 -0.087 -0.177
0.183 -2.834 -2.502
-1.967 -7.059 4.990
Co Cu Zr
4 2 2
Direct
0.203 0.625 0.250 Co
0.375 0.453 0.750 Co
0.547 0.125 0.250 Co
0.875 0.797 0.750 Co
0.250 0.750 0.500 Cu
0.500 0.500 0.000 Cu
0.000 0.000 0.000 Zr
0.750 0.250 0.500 Zr



5.
ZrCoCu3 (PBE, relaxed); distance to the lowest polymorph of the same formula = 0.0000 eV/atom; total energy = -24.7 eV per cell
1.0
-0.882 -3.062 -2.967
4.125 0.153 -1.384
1.078 -3.091 2.870
Co Cu Zr
1 3 1
Direct
0.000 0.000 0.000 Co
0.000 0.000 0.500 Cu
0.000 0.500 0.000 Cu
0.500 0.000 0.000 Cu
0.500 0.500 0.500 Zr



6.
Zr11Co4Cu9 (PBE, relaxed); total energy = -164.1 eV per cell
1.0
3.211 0.000 0.000
0.000 10.761 -4.631
0.000 -0.029 11.715
Cu Co Zr
9 4 11
Direct
0.500 0.631 0.163 Cu
0.500 0.926 0.788 Cu
0.500 0.163 0.631 Cu
0.500 0.074 0.212 Cu
0.500 0.369 0.837 Cu
0.500 0.500 0.500 Cu
0.500 0.788 0.926 Cu
0.500 0.837 0.369 Cu
0.500 0.212 0.074 Cu
0.500 0.752 0.552 Co
0.500 0.448 0.248 Co
0.500 0.248 0.448 Co
0.500 0.552 0.752 Co
0.000 0.000 0.000 Zr
0.000 0.300 0.300 Zr
0.000 0.700 0.700 Zr
0.000 0.833 0.167 Zr
0.000 0.591 0.931 Zr
0.000 0.409 0.069 Zr
0.000 0.371 0.629 Zr
0.000 0.069 0.409 Zr
0.000 0.167 0.833 Zr
0.000 0.931 0.591 Zr
0.000 0.629 0.371 Zr



7.
Zr4CoCu2 (PBE, relaxed); total energy = -49.7 eV per cell
1.0
-3.504 0.695 2.640
-3.098 -3.312 -3.241
2.326 -3.197 3.929
Zr Co Cu
4 1 2
Direct
0.500 0.500 0.000 Zr
0.500 0.000 0.500 Zr
0.000 0.754 0.754 Zr
0.000 0.246 0.246 Zr
0.500 0.500 0.500 Co
0.000 0.255 0.745 Cu
0.000 0.745 0.255 Cu



8.
Zr3Co2Cu (PBE, relaxed); total energy = -45.3 eV per cell
1.0
3.217 0.000 0.000
0.000 3.217 0.000
0.000 0.000 9.632
Co Cu Zr
2 1 3
Direct
0.500 0.500 0.162 Co
0.500 0.500 0.838 Co
0.500 0.500 0.500 Cu
0.000 0.000 0.000 Zr
0.000 0.000 0.324 Zr
0.000 0.000 0.676 Zr